Below is a relaxed Ac2AlGe4Ir3 crystal, with properties calculated at the PBE level.

Calculated values
Final energy ... -0.4686 Ry per atom
V ... 202 Å³ per cell
Magnetic moment ... 0.0 μB per cell
Space group ... P-4m2
ΔE_f ... -0.67 eV/atom

a b c (Å): 4.3951 4.3951 10.4810
angles (deg): 90.00 90.00 90.00
Last column: nearest neighbours and their distance in Å.
Fractional coordinates of all 10 atoms:
Ir: 0.0000 0.5000 0.1203  5 Ge 2.52-2.53
Ir: 0.5000 0.0000 0.8797  5 Ge 2.52-2.53
Ir: 0.0000 0.0000 0.5000  4 Ge 2.64
Ge: 0.5000 0.5000 0.0000  4 Ir 2.53
Ge: 0.0000 0.5000 0.3612  3 Ir 2.52-2.64, 2 Al 2.64
Ge: 0.5000 0.0000 0.6388  3 Ir 2.52-2.64, 2 Al 2.64
Ge: 0.0000 0.0000 0.0000  4 Ir 2.53
Al: 0.5000 0.5000 0.5000  4 Ge 2.64
Ac: 0.0000 0.5000 0.7569  8 Ge 3.35-3.36, 6 Ir 3.36-3.48, 2 Al 3.48
Ac: 0.5000 0.0000 0.2431  8 Ge 3.35-3.36, 6 Ir 3.36-3.48, 2 Al 3.48

***

Below is a relaxed Ac2AlGe3Ir4 crystal, with properties calculated at the PBE level.

Calculated values
Final energy ... -0.5070 Ry per atom
V ... 198 Å³ per cell
Magnetic moment ... 0.0 μB per cell
Space group ... P-4m2
ΔE_f ... -0.77 eV/atom

a b c (Å): 4.3212 4.3212 10.5923
angles (deg): 90.00 90.00 90.00
Last column: nearest neighbours and their distance in Å.
Fractional coordinates of all 10 atoms:
Ge: 0.0000 0.5000 0.1267  5 Ir 2.54-2.58
Ge: 0.0000 0.0000 0.5000  4 Ir 2.56
Ge: 0.5000 0.0000 0.8733  5 Ir 2.54-2.58
Ac: 0.0000 0.5000 0.7474  8 Ir 3.30-3.44, 6 Ge 3.33-3.40, 2 Al 3.40
Ac: 0.5000 0.0000 0.2526  8 Ir 3.30-3.44, 6 Ge 3.33-3.40, 2 Al 3.40
Ir: 0.0000 0.5000 0.3702  3 Ge 2.56-2.58, 2 Al 2.56
Ir: 0.5000 0.0000 0.6298  3 Ge 2.56-2.58, 2 Al 2.56
Ir: 0.0000 0.0000 0.0000  4 Ge 2.54
Ir: 0.5000 0.5000 0.0000  4 Ge 2.54
Al: 0.5000 0.5000 0.5000  4 Ir 2.56

***

Below is a relaxed AcLaAl2Ge2 crystal, with properties calculated at the PBE level.

Calculated values
Final energy ... -0.3638 Ry per atom
V ... 149 Å³ per cell
Magnetic moment ... 0.0 μB per cell
Space group ... P-3m1
ΔE_f ... -0.66 eV/atom

a b c (Å): 4.3394 4.3394 9.1179
angles (deg): 90.00 90.00 120.00
Last column: nearest neighbours and their distance in Å.
Fractional coordinates of all 6 atoms:
Ge: 0.6667 0.3333 0.7292  3 Al 2.51
Ge: 0.3333 0.6667 0.2708  3 Al 2.51
Al: 0.3333 0.6667 0.7507  3 Ge 2.51
Al: 0.6667 0.3333 0.2493  3 Ge 2.51
La: 0.0000 0.0000 0.5000  6 Ge 3.26, 6 Al 3.39
Ac: 0.0000 0.0000 0.0000  6 Al 3.38, 6 Ge 3.52

***

Below is a relaxed AcLaAlGe crystal, with properties calculated at the PBE level.

Calculated values
Final energy ... -0.3640 Ry per atom
Polymorph energy (0 for the lowest one) ... 0.0000 eV per atom
V ... 118 Å³ per cell
Magnetic moment ... 0.0 μB per cell
Space group ... Amm2
ΔE_f ... -0.60 eV/atom

a b c (Å): 4.6932 4.2360 6.3832
angles (deg): 90.00 111.57 90.00
Last column: nearest neighbours and their distance in Å.
Fractional coordinates of all 4 atoms:
Ac: 0.7490 0.5000 0.4980  4 Ge 3.29, 3 Al 3.42-3.44
Ge: 0.3262 0.0000 0.6524  2 Al 2.66
La: 0.0332 0.0000 0.0664  4 Al 3.27, 3 Ge 3.40-3.48
Al: 0.4612 0.5000 0.9224  2 Ge 2.66

***

Below is a relaxed AcLaAlGe crystal, with properties calculated at the PBE level.

Calculated values
Final energy ... -0.3494 Ry per atom
Polymorph energy (0 for the lowest one) ... 0.1981 eV per atom
V ... 115 Å³ per cell
Magnetic moment ... 0.0 μB per cell
Space group ... F-43m
ΔE_f ... -0.41 eV/atom

a b c (Å): 5.4572 5.4572 5.4572
angles (deg): 60.00 60.00 60.00
Last column: nearest neighbours and their distance in Å.
Fractional coordinates of all 4 atoms:
La: 0.5000 0.5000 0.5000  4 Ge 3.34, 4 Al 3.34
Al: 0.2500 0.2500 0.2500  4 Ac 3.34, 4 La 3.34
Ac: 0.0000 0.0000 0.0000  4 Ge 3.34, 4 Al 3.34
Ge: 0.7500 0.7500 0.7500  4 La 3.34, 4 Ac 3.34

***

Below is a relaxed LiAcAlGe2 crystal, with properties calculated at the PBE level.

Calculated values
Final energy ... -0.3193 Ry per atom
V ... 108 Å³ per cell
Magnetic moment ... 0.0 μB per cell
Space group ... I-4m2
ΔE_f ... -0.54 eV/atom

a b c (Å): 4.3518 4.3518 6.4761
angles (deg): 109.63 109.63 90.00
Last column: nearest neighbours and their distance in Å.
Fractional coordinates of all 5 atoms:
Li: 0.2500 0.7500 0.5000  4 Ge 2.64
Ge: 0.6192 0.6192 0.2384  2 Li 2.64, 2 Al 2.64, 1 Ge 2.72
Ge: 0.3808 0.3808 0.7616  2 Li 2.64, 2 Al 2.64, 1 Ge 2.72
Al: 0.7500 0.2500 0.5000  4 Ge 2.64
Ac: 0.0000 0.0000 0.0000  8 Ge 3.36, 4 Li 3.58, 4 Al 3.58